First-principles (PBE) data for a relaxed structure of Er5AlCu2, as listed in Alexandria via LeMat-Bulk.

Results
Its crystal system is tetragonal. Its total energy is -36.52 eV per formula unit. The value obtained for the formation energy from the elements is -0.2213 eV per atom. For the total magnetization, the calculation gives 0.00 μB per formula unit. The volume comes out at 24.03 A^3/atom.

Lattice parameters (Å, degrees): 8.4523 8.4523 8.4523 125.68 125.68 80.42
With the nearest neighbours (Å) after each atom.
Fractional coordinates of all 16 atoms:
Er1 0.0000 0.0000 0.0000  4 Cu 3.04, 2 Al 3.23
Er2 0.0145 0.5145 0.8183  3 Cu 2.90-2.99, 2 Al 3.21
Er3 0.1962 0.0145 0.5000  3 Cu 2.90-2.99, 2 Al 3.21
Er4 0.3038 0.8038 0.8183  3 Cu 2.90-2.99, 2 Al 3.21
Er5 0.4855 0.3038 0.5000  3 Cu 2.90-2.99, 2 Al 3.21
Er6 0.5000 0.5000 0.0000  4 Cu 3.04, 2 Al 3.23
Er7 0.5145 0.6962 0.5000  3 Cu 2.90-2.99, 2 Al 3.21
Er8 0.6962 0.1962 0.1817  3 Cu 2.90-2.99, 2 Al 3.21
Er9 0.8038 0.9855 0.5000  3 Cu 2.90-2.99, 2 Al 3.21
Er10 0.9855 0.4855 0.1817  3 Cu 2.90-2.99, 2 Al 3.21
Al1 0.2500 0.2500 0.0000  10 Er 3.21-3.23
Al2 0.7500 0.7500 0.0000  10 Er 3.21-3.23
Cu1 0.1264 0.3736 0.5000  1 Cu 2.76, 8 Er 2.90-3.04
Cu2 0.3736 0.8736 0.2472  1 Cu 2.76, 8 Er 2.90-3.04
Cu3 0.6264 0.1264 0.7528  1 Cu 2.76, 8 Er 2.90-3.04
Cu4 0.8736 0.6264 0.5000  1 Cu 2.76, 8 Er 2.90-3.04

***

First-principles (PBE) data for a relaxed structure of HfNi2Pd2, as listed in Alexandria via LeMat-Bulk.

Results
Its crystal system is tetragonal. Its total energy is -33.46 eV per formula unit. The value obtained for the formation energy from the elements is -0.3122 eV per atom. For the total magnetization, the calculation gives 0.00 μB per formula unit. The volume comes out at 14.86 A^3/atom.

Lattice parameters (Å, degrees): 6.4343 6.4343 3.5900 90.00 90.00 90.00
With the nearest neighbours (Å) after each atom.
Fractional coordinates of all 10 atoms:
Hf1 0.0000 0.0000 0.0000  4 Ni 2.52
Hf2 0.5000 0.5000 0.0000  4 Ni 2.52
Ni1 0.1299 0.3701 0.0000  1 Ni 2.36, 2 Hf 2.52, 6 Pd 2.59-2.62
Ni2 0.3701 0.8701 0.0000  1 Ni 2.36, 2 Hf 2.52, 6 Pd 2.59-2.62
Ni3 0.6299 0.1299 0.0000  1 Ni 2.36, 2 Hf 2.52, 6 Pd 2.59-2.62
Ni4 0.8701 0.6299 0.0000  1 Ni 2.36, 2 Hf 2.52, 6 Pd 2.59-2.62
Pd1 0.1654 0.6654 0.5000  6 Ni 2.59-2.62
Pd2 0.3346 0.1654 0.5000  6 Ni 2.59-2.62
Pd3 0.6654 0.8346 0.5000  6 Ni 2.59-2.62
Pd4 0.8346 0.3346 0.5000  6 Ni 2.59-2.62

***

First-principles (PBE) data for a relaxed structure of Sr2MgMn, as listed in Alexandria via LeMat-Bulk.

Results
Its crystal system is orthorhombic. Its total energy is -12.87 eV per formula unit. The value obtained for the formation energy from the elements is 0.3139 eV per atom. For the total magnetization, the calculation gives 3.92 μB per formula unit. The volume comes out at 33.55 A^3/atom.

Lattice parameters (Å, degrees): 6.8133 6.8133 6.8133 146.12 129.73 62.01
With the nearest neighbours (Å) after each atom.
Fractional coordinates of all 4 atoms:
Sr1 0.0000 0.0000 0.0000  4 Mn 3.55, 6 Sr 3.77-3.97, 4 Mg 3.82-3.87
Sr2 0.7068 0.2068 0.5000  2 Mn 3.54, 4 Mg 3.61, 4 Sr 3.77-3.96
Mg1 0.2798 0.7798 0.5000  2 Mn 2.86
Mn1 0.4561 0.4561 0.0000  2 Mg 2.86

***

First-principles (PBE) data for a relaxed structure of Dy4ErN5, as listed in Alexandria via LeMat-Bulk.

Results
Its crystal system is tetragonal. Its total energy is -81.81 eV per formula unit. For the total magnetization, the calculation gives 0.00 μB per formula unit. The volume comes out at 14.70 A^3/atom. For the uncorrected formation energy, the calculation gives -1721 meV/atom.

Lattice parameters (Å, degrees): 6.0001 6.0001 6.0001 99.59 99.59 131.81
With the nearest neighbours (Å) after each atom.
Fractional coordinates of all 10 atoms:
Dy1 0.1001 0.7003 0.8004  6 N 2.45-2.46
Dy2 0.2997 0.1001 0.3998  6 N 2.45-2.46
Dy3 0.7003 0.8999 0.6002  6 N 2.45-2.46
Dy4 0.8999 0.2997 0.1996  6 N 2.45-2.46
Er1 0.5000 0.5000 0.0000  6 N 2.44-2.45
N1 0.0000 0.0000 0.0000  4 Dy 2.45, 2 Er 2.45
N2 0.2016 0.4006 0.6022  1 Er 2.44, 5 Dy 2.45-2.46
N3 0.4006 0.7984 0.1990  1 Er 2.44, 5 Dy 2.45-2.46
N4 0.5994 0.2016 0.8010  1 Er 2.44, 5 Dy 2.45-2.46
N5 0.7984 0.5994 0.3978  1 Er 2.44, 5 Dy 2.45-2.46